# 1
Ba2LaPt2: optimized geometry, GGA-PBE.

```
data_Ba2LaPt2
_cell_length_a 8.207
_cell_length_b 8.207
_cell_length_c 4.773
_cell_angle_alpha 90.00
_cell_angle_beta 90.00
_cell_angle_gamma 90.00
_symmetry_space_group_name_H-M 'P 4/m b m'
_symmetry_Int_Tables_number 127
_symmetry_space_group_name_Hall '-P 4 2ab'
loop_
_atom_site_label
_atom_site_type_symbol
_atom_site_fract_x
_atom_site_fract_y
_atom_site_fract_z
Ba1 Ba 0.153 0.347 0.000
La1 La 0.000 0.000 0.500
Pt1 Pt 0.161 0.661 0.500
```

Energy of formation from the pure elements, eV/f.u.: -3.36
Crystal system: tetragonal

=====

# 2
ScRuBr2: optimized geometry, GGA-PBE.

```
data_ScRuBr2
_cell_length_a 3.358
_cell_length_b 3.358
_cell_length_c 6.769
_cell_angle_alpha 90.00
_cell_angle_beta 90.00
_cell_angle_gamma 90.00
_symmetry_space_group_name_H-M 'P 4/m m m'
_symmetry_Int_Tables_number 123
_symmetry_space_group_name_Hall '-P 4 2'
loop_
_atom_site_label
_atom_site_type_symbol
_atom_site_fract_x
_atom_site_fract_y
_atom_site_fract_z
Sc1 Sc 0.000 0.000 0.000
Ru1 Ru 0.000 0.000 0.500
Br1 Br 0.500 0.500 0.240
```

Excess energy over the best structure of this formula in the dataset, meV/atom: 670.0
Formation energy without anion corrections, eV per atom: 0.103
Crystal system: tetragonal

=====

# 3
KDy2N: optimized geometry, GGA-PBE.

```
data_KDy2N
_cell_length_a 3.5380
_cell_length_b 3.5380
_cell_length_c 30.6009
_cell_angle_alpha 90.00
_cell_angle_beta 90.00
_cell_angle_gamma 120.00
_symmetry_space_group_name_H-M 'R -3 m'
_symmetry_Int_Tables_number 166
_symmetry_space_group_name_Hall '-R 3 2"'
loop_
_atom_site_label
_atom_site_type_symbol
_atom_site_fract_x
_atom_site_fract_y
_atom_site_fract_z
K1 K 0.0000 0.0000 0.0000
Dy1 Dy 0.0000 0.0000 0.1237
N1 N 0.0000 0.0000 0.5000
```

Formation energy without anion corrections, eV per atom: -0.565
Crystal system: trigonal

=====

# 4
Li3Tl3ZnI8: optimized geometry, GGA-PBE.

```
data_Li3Tl3ZnI8
_cell_length_a 15.237
_cell_length_b 8.787
_cell_length_c 9.609
_cell_angle_alpha 90.00
_cell_angle_beta 121.90
_cell_angle_gamma 90.00
_symmetry_space_group_name_H-M 'C 1 2/m 1'
_symmetry_Int_Tables_number 12
_symmetry_space_group_name_Hall '-C 2y'
loop_
_atom_site_label
_atom_site_type_symbol
_atom_site_fract_x
_atom_site_fract_y
_atom_site_fract_z
Li1 Li 0.000 0.000 0.000
Li2 Li 0.250 0.250 0.000
Tl1 Tl 0.000 0.500 0.500
Tl2 Tl 0.250 0.250 0.500
Zn1 Zn 0.000 0.500 0.000
I1 I 0.014 0.260 0.803
I2 I 0.225 0.500 0.196
I3 I 0.235 0.000 0.203
```

Formation energy without anion corrections, eV per atom: -0.803
Crystal system: monoclinic

=====

# 5
ZnAs2Pd7Pb2: optimized geometry, GGA-PBE.

```
data_ZnAs2Pd7Pb2
_cell_length_a 5.713
_cell_length_b 5.682
_cell_length_c 14.123
_cell_angle_alpha 90.00
_cell_angle_beta 97.29
_cell_angle_gamma 90.00
_symmetry_space_group_name_H-M 'C 1 2/m 1'
_symmetry_Int_Tables_number 12
_symmetry_space_group_name_Hall '-C 2y'
loop_
_atom_site_label
_atom_site_type_symbol
_atom_site_fract_x
_atom_site_fract_y
_atom_site_fract_z
Zn1 Zn 0.000 0.000 0.000
As1 As 0.075 0.500 0.240
Pd1 Pd 0.000 0.500 0.000
Pd2 Pd 0.113 0.500 0.419
Pd3 Pd 0.207 0.250 0.863
Pb1 Pb 0.110 0.000 0.387
```

Energy of formation from the pure elements, eV/f.u.: -3.47
Crystal system: monoclinic

=====

# 6
KSc4As: optimized geometry, GGA-PBE.

```
data_KSc4As
_cell_length_a 8.681
_cell_length_b 8.681
_cell_length_c 8.681
_cell_angle_alpha 90.00
_cell_angle_beta 90.00
_cell_angle_gamma 90.00
_symmetry_space_group_name_H-M 'F -4 3 m'
_symmetry_Int_Tables_number 216
_symmetry_space_group_name_Hall 'F -4 2 3'
loop_
_atom_site_label
_atom_site_type_symbol
_atom_site_fract_x
_atom_site_fract_y
_atom_site_fract_z
K1 K 0.000 0.000 0.000
Sc1 Sc 0.124 0.124 0.624
As1 As 0.250 0.250 0.250
```

Energy of formation from the pure elements, eV/f.u.: 2.68
Crystal system: cubic

=====

no.,spin magnetization (Bohr magnetons per cell),electronic total energy (eV per atom)
1,0.000,-4.844
2,1.555,-4.636
3,3.034,-5.221
4,0.000,-2.570
5,0.000,-4.818
6,0.003,-4.733